VASP calculation (PBE) on a relaxed structure of Pu2FeGe3.

The structure belongs to space group Pmm2 (No. 25); the cell edges are 3.8329, 4.3551 and 7.1421 Å and the angles 90.00°, 90.00° and 90.00°. Symmetry generates all atoms from Pu at (0.0000, 0.0000, 0.0000), Pu at (0.0000, 0.5000, 0.4770), Fe at (0.5000, 0.0000, 0.2866), Ge at (0.5000, 0.0000, 0.6258), Ge at (0.5000, 0.5000, 0.1605) and Ge at (0.5000, 0.5000, 0.8114).

As for the energy relative to the lowest polymorph listed for this composition: 0.009 eV per atom. The formation energy from the elements is -0.302 eV/atom.

***

VASP calculation (PBE) on a relaxed structure of PuFe4Ge.

The structure belongs to space group F-43m (No. 216); the cell edges are 6.9507, 6.9507 and 6.9507 Å and the angles 90.00°, 90.00° and 90.00°. Symmetry generates all atoms from Pu at (0.0000, 0.0000, 0.0000), Fe at (0.1235, 0.1235, 0.3765) and Ge at (0.2500, 0.2500, 0.7500).

The formation energy from the elements is -0.029 eV/atom.